4
Lattice="0.000 4.434 4.434 4.434 0.000 4.434 4.434 4.434 0.000" Properties=species:S:1:pos:R:3 comment="KRbNaAg PBE-GGA relaxed" rho_g_cm3=2.4 total_energy_ev_per_fu=-5.85 spacegroup="F-43m (216)" pbc="T T T"
K 0.000 0.000 0.000
Rb 4.434 4.434 4.434
Na 2.217 2.217 2.217
Ag 6.652 6.652 6.652